This record from Alexandria via LeMat-Bulk describes a relaxed structure of KUCrO6. The functional is GGA+U.

```
data_KUCrO6
_cell_length_a 6.871
_cell_length_b 8.379
_cell_length_c 10.602
_cell_angle_alpha 90.00
_cell_angle_beta 100.59
_cell_angle_gamma 90.00
_space_group_name_H-M_alt 'P 1'
_space_group_IT_number 1
loop_
_space_group_symop_operation_xyz
'x,y,z'
loop_
_atom_site_label
_atom_site_fract_x
_atom_site_fract_y
_atom_site_fract_z
K1 0.023 0.218 0.328
K2 0.023 0.282 0.828
K3 0.977 0.718 0.172
K4 0.977 0.782 0.672
U1 0.489 0.017 0.178
U2 0.489 0.483 0.678
U3 0.511 0.517 0.322
U4 0.511 0.983 0.822
Cr1 0.384 0.642 0.950
Cr2 0.384 0.858 0.450
Cr3 0.616 0.142 0.550
Cr4 0.616 0.358 0.050
O1 0.150 0.629 0.950
O2 0.150 0.871 0.450
O3 0.222 0.060 0.141
O4 0.222 0.440 0.641
O5 0.244 0.026 0.778
O6 0.244 0.474 0.278
O7 0.419 0.712 0.790
O8 0.419 0.788 0.290
O9 0.464 0.061 0.397
O10 0.464 0.439 0.897
O11 0.465 0.656 0.507
O12 0.465 0.844 0.007
O13 0.535 0.156 0.993
O14 0.535 0.344 0.493
O15 0.536 0.561 0.103
O16 0.536 0.939 0.603
O17 0.581 0.212 0.710
O18 0.581 0.288 0.210
O19 0.756 0.526 0.722
O20 0.756 0.974 0.222
O21 0.778 0.560 0.359
O22 0.778 0.940 0.859
O23 0.850 0.129 0.550
O24 0.850 0.371 0.050
```

Summary:
Volume ... 600.0 Å³ per cell
Total DFT energy (no corrections) ... -7.83 eV per atom
Energy above the most stable polymorph in this dataset ... 0.00 eV per formula unit
Space group ... P2_1/c, No. 14